Crystalline CsMoIrO2 at its relaxed geometry, computed with GGA+U.

The calculation puts the total magnetization at 0.0 μB/f.u. The density of states at the Fermi level is 2.668 states/eV/f.u. As for the electronic total energy: -27.77 eV per cell. Its crystal system is tetragonal.

a = 4.039 Å, b = 5.179 Å, c = 4.039 Å
α = 90.00°, β = 90.00°, γ = 90.00°
Fractional coordinates of all 5 atoms:
Cs1 0.500 0.500 0.500
Mo1 0.000 0.000 0.000
Ir1 0.000 0.500 0.000
O1 0.000 0.000 0.500
O2 0.500 0.000 0.000